# 1
DFT (PBEsol) results for crystalline SbPdN2O at its relaxed geometry.

Cell: 3.895 3.895 3.942 Å, 90.00 90.00 90.00°
Atoms (fractional coordinates):
Sb (0.500, 0.500, 0.500)
O (0.000, 0.000, 0.500)
Pd (0.000, 0.000, 0.000)
N (0.000, 0.500, 0.000)
N (0.500, 0.000, 0.000)

Calculated values
SG	P4/mmm (123)
uncorrected formation energy	0.88	eV per atom
DFT total energy	-5.680	eV per atom


# 2
DFT (PBEsol) results for crystalline TcPdN2O at its relaxed geometry.

Cell: 3.693 3.882 3.882 Å, 90.00 90.00 90.00°
Atoms (fractional coordinates):
O (0.500, 0.000, 0.000)
Tc (0.000, 0.000, 0.000)
Pd (0.500, 0.500, 0.500)
N (0.000, 0.000, 0.500)
N (0.000, 0.500, 0.000)

Calculated values
SG	P4/mmm (123)
uncorrected formation energy	0.38	eV per atom
DFT total energy	-7.523	eV per atom


# 3
DFT (PBEsol) results for crystalline Te2PdNO at its relaxed geometry.

Cell: 3.648 4.668 4.668 Å, 90.00 90.00 90.00°
Atoms (fractional coordinates):
Te (0.000, 0.000, 0.500)
Te (0.000, 0.500, 0.000)
O (0.000, 0.000, 0.000)
Pd (0.500, 0.500, 0.500)
N (0.500, 0.000, 0.000)

Calculated values
SG	P4/mmm (123)
uncorrected formation energy	0.93	eV per atom
DFT total energy	-4.426	eV per atom


# 4
DFT (PBEsol) results for crystalline TePdN2O at its relaxed geometry.

Cell: 3.838 3.838 4.196 Å, 90.00 90.00 90.00°
Atoms (fractional coordinates):
Te (0.000, 0.000, 0.500)
O (0.000, 0.000, 0.000)
Pd (0.500, 0.500, 0.500)
N (0.000, 0.500, 0.000)
N (0.500, 0.000, 0.000)

Calculated values
SG	P4/mmm (123)
uncorrected formation energy	1.75	eV per atom
DFT total energy	-4.609	eV per atom


# 5
DFT (PBEsol) results for crystalline TePdN2O at its relaxed geometry.

Cell: 3.643 3.643 5.865 Å, 90.00 90.00 90.00°
Atoms (fractional coordinates):
Te (0.000, 0.000, 0.500)
O (0.500, 0.500, 0.500)
Pd (0.000, 0.000, 0.000)
N (0.000, 0.500, 0.000)
N (0.500, 0.000, 0.000)

Calculated values
SG	P4/mmm (123)
uncorrected formation energy	1.35	eV per atom
DFT total energy	-5.010	eV per atom


# 6
DFT (PBEsol) results for crystalline TiPdNO2 at its relaxed geometry.

Cell: 3.729 3.729 4.092 Å, 90.00 90.00 90.00°
Atoms (fractional coordinates):
N (0.000, 0.000, 0.500)
O (0.000, 0.500, 0.000)
O (0.500, 0.000, 0.000)
Pd (0.500, 0.500, 0.500)
Ti (0.000, 0.000, 0.000)

Calculated values
SG	P4/mmm (123)
uncorrected formation energy	-0.66	eV per atom
DFT total energy	-7.321	eV per atom


# 7
DFT (PBEsol) results for crystalline ZrPdN2O at its relaxed geometry.

Cell: 3.780 3.849 3.849 Å, 90.00 90.00 90.00°
Atoms (fractional coordinates):
O (0.500, 0.000, 0.000)
Zr (0.500, 0.500, 0.500)
Pd (0.000, 0.000, 0.000)
N (0.000, 0.000, 0.500)
N (0.000, 0.500, 0.000)

Calculated values
SG	P4/mmm (123)
uncorrected formation energy	0.07	eV per atom
DFT total energy	-7.396	eV per atom


# 8
DFT (PBEsol) results for crystalline PrZrNO2 at its relaxed geometry.

Cell: 5.742 5.882 8.101 Å, 90.00 90.50 90.00°
Atoms (fractional coordinates):
Pr (0.480, 0.547, 0.256)
Pr (0.020, 0.047, 0.244)
Pr (0.520, 0.453, 0.744)
Pr (0.980, 0.953, 0.756)
Zr (0.500, 0.000, 0.000)
Zr (0.000, 0.500, 0.500)
Zr (0.500, 0.000, 0.500)
Zr (0.000, 0.500, 0.000)
N (0.209, 0.791, 0.058)
N (0.291, 0.291, 0.442)
N (0.791, 0.209, 0.942)
N (0.709, 0.709, 0.558)
O (0.610, 0.964, 0.250)
O (0.890, 0.464, 0.250)
O (0.390, 0.036, 0.750)
O (0.110, 0.536, 0.750)
O (0.788, 0.211, 0.562)
O (0.712, 0.711, 0.938)
O (0.212, 0.789, 0.438)
O (0.288, 0.289, 0.062)

Calculated values
SG	P2_1/c (14)
uncorrected formation energy	-2.78	eV per atom
DFT total energy	-9.439	eV per atom


# 9
DFT (PBEsol) results for crystalline RbPtN2O at its relaxed geometry.

Cell: 4.243 4.992 4.992 Å, 90.00 90.00 90.00°
Atoms (fractional coordinates):
O (0.500, 0.000, 0.000)
Rb (0.000, 0.000, 0.000)
Pt (0.500, 0.500, 0.500)
N (0.000, 0.000, 0.500)
N (0.000, 0.500, 0.000)

Calculated values
SG	P4/mmm (123)
uncorrected formation energy	3.08	eV per atom
DFT total energy	-2.981	eV per atom


# 10
DFT (PBEsol) results for crystalline PtRhN2O at its relaxed geometry.

Cell: 3.783 3.783 4.028 Å, 90.00 90.00 90.00°
Atoms (fractional coordinates):
Rh (0.500, 0.500, 0.500)
O (0.000, 0.000, 0.500)
Pt (0.000, 0.000, 0.000)
N (0.000, 0.500, 0.000)
N (0.500, 0.000, 0.000)

Calculated values
SG	P4/mmm (123)
uncorrected formation energy	1.48	eV per atom
DFT total energy	-6.005	eV per atom


# 11
DFT (PBEsol) results for crystalline SbPtNO2 at its relaxed geometry.

Cell: 3.833 3.833 4.194 Å, 90.00 90.00 90.00°
Atoms (fractional coordinates):
Sb (0.000, 0.000, 0.000)
O (0.000, 0.500, 0.000)
O (0.500, 0.000, 0.000)
Pt (0.500, 0.500, 0.500)
N (0.000, 0.000, 0.500)

Calculated values
SG	P4/mmm (123)
uncorrected formation energy	0.49	eV per atom
DFT total energy	-5.617	eV per atom


# 12
DFT (PBEsol) results for crystalline PtSe2NO at its relaxed geometry.

Cell: 3.587 5.104 5.104 Å, 90.00 90.00 90.00°
Atoms (fractional coordinates):
O (0.500, 0.500, 0.500)
Se (0.000, 0.000, 0.500)
Se (0.000, 0.500, 0.000)
Pt (0.000, 0.000, 0.000)
N (0.500, 0.000, 0.000)

Calculated values
SG	P4/mmm (123)
ΔE to the lowest computed polymorph	0.0	meV/atom
uncorrected formation energy	1.15	eV per atom
DFT total energy	-4.536	eV per atom